Entry 1:
Entry from Alexandria via LeMat-Bulk: ZnNi3Sb2 after structural relaxation (GGA-PBE).

It has space group P-3m1 (No. 164), with a = 4.1385 Å, b = 4.1385 Å, c = 6.4410 Å, α = 90.00°, β = 90.00° and γ = 120.00°. The inequivalent atoms are Zn at (0.0000, 0.0000, 0.0000), Ni at (0.0000, 0.0000, 0.5000), Ni at (0.3333, 0.6667, 0.8949) and Sb at (0.3333, 0.6667, 0.3016).

Entry 2:
Entry from Alexandria via LeMat-Bulk: ZnNi4Sb after structural relaxation (GGA-PBE).

It has space group P2_1/c (No. 14), with a = 4.453 Å, b = 7.963 Å, c = 4.458 Å, α = 90.00°, β = 102.87° and γ = 90.00°. The inequivalent atoms are Zn at (0.000, 0.000, 0.000), Ni at (0.001, 0.169, 0.501), Ni at (0.499, 0.666, 0.499) and Sb at (0.500, 0.000, 0.500).

The calculation puts the energy above the most stable polymorph in this dataset at 0.00 eV per formula unit.

Entry 3:
Entry from Alexandria via LeMat-Bulk: Zn3NiSb after structural relaxation (GGA-PBE).

It has space group Pm-3m (No. 221), with a = 4.593 Å, b = 4.593 Å, c = 4.593 Å, α = 90.00°, β = 90.00° and γ = 90.00°. The inequivalent atoms are Zn at (0.000, 0.000, 0.500), Ni at (0.000, 0.000, 0.000) and Sb at (0.500, 0.500, 0.500).

The calculation puts the energy above the most stable polymorph in this dataset at 0.00 eV per formula unit.

Entry 4:
Entry from Alexandria via LeMat-Bulk: Zn3Ni2Sb after structural relaxation (GGA-PBE).

It has space group P-3m1 (No. 164), with a = 4.2546 Å, b = 4.2546 Å, c = 5.5490 Å, α = 90.00°, β = 90.00° and γ = 120.00°. The inequivalent atoms are Zn at (0.0000, 0.0000, 0.0000), Zn at (0.3333, 0.6667, 0.8524), Ni at (0.3333, 0.6667, 0.3292) and Sb at (0.0000, 0.0000, 0.5000).

Entry 5:
Entry from Alexandria via LeMat-Bulk: ZnNiSb after structural relaxation (GGA-PBE).

It has space group I4mm (No. 107), with a = 3.031 Å, b = 3.031 Å, c = 11.886 Å, α = 90.00°, β = 90.00° and γ = 90.00°. The inequivalent atoms are Zn at (0.000, 0.000, 0.000), Ni at (0.000, 0.000, 0.382) and Sb at (0.000, 0.000, 0.738).

The calculation puts the energy above the most stable polymorph in this dataset at 0.87 eV per formula unit.

Entry 6:
Entry from Alexandria via LeMat-Bulk: ZnNiSb2 after structural relaxation (GGA-PBE).

It has space group P2/m (No. 10), with a = 3.278 Å, b = 3.131 Å, c = 7.867 Å, α = 90.00°, β = 90.15° and γ = 90.00°. The inequivalent atoms are Zn at (0.000, 0.000, 0.000), Ni at (0.000, 0.000, 0.500) and Sb at (0.490, 0.500, 0.290).

Entry 7:
Entry from Alexandria via LeMat-Bulk: ZnNiSb2 after structural relaxation (GGA-PBE).

It has space group P4/mmm (No. 123), with a = 4.623 Å, b = 4.623 Å, c = 3.661 Å, α = 90.00°, β = 90.00° and γ = 90.00°. The inequivalent atoms are Zn at (0.000, 0.000, 0.000), Ni at (0.500, 0.500, 0.000) and Sb at (0.000, 0.500, 0.500).

Entry 8:
Entry from Alexandria via LeMat-Bulk: ZnNiSb2 after structural relaxation (GGA-PBE).

It has space group Amm2 (No. 38), with a = 4.496 Å, b = 4.837 Å, c = 7.992 Å, α = 90.00°, β = 90.00° and γ = 90.00°. The inequivalent atoms are Zn at (0.000, 0.000, 0.000), Ni at (0.500, 0.000, 0.152), Sb at (0.000, 0.000, 0.329) and Sb at (0.500, 0.000, 0.796).

Entry 9:
Entry from Alexandria via LeMat-Bulk: ZnNiSb after structural relaxation (GGA-PBE).

It has space group P3m1 (No. 156), with a = 4.0960 Å, b = 4.0960 Å, c = 3.7528 Å, α = 90.00°, β = 90.00° and γ = 120.00°. The inequivalent atoms are Zn at (0.0000, 0.0000, 0.0000), Ni at (0.6667, 0.3333, 0.2123) and Sb at (0.3333, 0.6667, 0.4962).

The calculation puts the energy above the most stable polymorph in this dataset at 1.00 eV per formula unit.

Entry 10:
Entry from Alexandria via LeMat-Bulk: ZnNiSb2 after structural relaxation (GGA-PBE).

It has space group Cm (No. 8), with a = 7.871 Å, b = 3.656 Å, c = 6.166 Å, α = 90.00°, β = 108.17° and γ = 90.00°. The inequivalent atoms are Zn at (0.000, 0.000, 0.000), Ni at (0.229, 0.500, 0.112), Sb at (0.228, 0.000, 0.766) and Sb at (0.465, 0.000, 0.337).

Entry 11:
Entry from Alexandria via LeMat-Bulk: Zn3NiSb after structural relaxation (GGA-PBE).

It has space group Pm-3m (No. 221), with a = 5.176 Å, b = 5.176 Å, c = 5.176 Å, α = 90.00°, β = 90.00° and γ = 90.00°. The inequivalent atoms are Zn at (0.000, 0.000, 0.500), Ni at (0.500, 0.500, 0.500) and Sb at (0.000, 0.000, 0.000).

The calculation puts the energy above the most stable polymorph in this dataset at 4.07 eV per formula unit.

Entry 12:
Entry from Alexandria via LeMat-Bulk: Zn2Ni8Sb after structural relaxation (GGA-PBE).

It has space group Immm (No. 71), with a = 3.962 Å, b = 5.925 Å, c = 11.776 Å, α = 90.00°, β = 90.00° and γ = 90.00°. The inequivalent atoms are Zn at (0.000, 0.000, 0.182), Ni at (0.000, 0.212, 0.000), Ni at (0.000, 0.273, 0.339), Ni at (0.000, 0.500, 0.163) and Sb at (0.000, 0.000, 0.500).

Entry 13:
Entry from Alexandria via LeMat-Bulk: ZnNiSb2 after structural relaxation (GGA-PBE).

It has space group Imm2 (No. 44), with a = 3.224 Å, b = 4.026 Å, c = 12.782 Å, α = 90.00°, β = 90.00° and γ = 90.00°. The inequivalent atoms are Zn at (0.000, 0.000, 0.000), Ni at (0.000, 0.500, 0.722), Sb at (0.000, 0.000, 0.383) and Sb at (0.000, 0.500, 0.162).

Entry 14:
Entry from Alexandria via LeMat-Bulk: ZnNiSb2 after structural relaxation (GGA-PBE).

It has space group F-43m (No. 216), with a = 6.899 Å, b = 6.899 Å, c = 6.899 Å, α = 90.00°, β = 90.00° and γ = 90.00°. The inequivalent atoms are Zn at (0.000, 0.000, 0.000), Ni at (0.250, 0.250, 0.750), Sb at (0.000, 0.000, 0.500) and Sb at (0.250, 0.250, 0.250).

Entry 15:
Entry from Alexandria via LeMat-Bulk: ZnNiSb2 after structural relaxation (GGA-PBE).

It has space group I-42d (No. 122), with a = 4.883 Å, b = 4.883 Å, c = 15.467 Å, α = 90.00°, β = 90.00° and γ = 90.00°. The inequivalent atoms are Zn at (0.000, 0.000, 0.000), Ni at (0.000, 0.000, 0.500) and Sb at (0.208, 0.250, 0.625).

Entry 16:
Entry from Alexandria via LeMat-Bulk: Zn4NiSb after structural relaxation (GGA-PBE).

It has space group F-43m (No. 216), with a = 7.304 Å, b = 7.304 Å, c = 7.304 Å, α = 90.00°, β = 90.00° and γ = 90.00°. The inequivalent atoms are Zn at (0.124, 0.124, 0.124), Ni at (0.250, 0.250, 0.750) and Sb at (0.000, 0.000, 0.500).

Entry 17:
Entry from Alexandria via LeMat-Bulk: ZnNiSb after structural relaxation (GGA-PBE).

It has space group F-43m (No. 216), with a = 5.950 Å, b = 5.950 Å, c = 5.950 Å, α = 90.00°, β = 90.00° and γ = 90.00°. The inequivalent atoms are Zn at (0.000, 0.000, 0.000), Ni at (0.250, 0.250, 0.750) and Sb at (0.000, 0.000, 0.500).

The calculation puts the energy above the most stable polymorph in this dataset at 0.00 eV per formula unit.

Entry 18:
Entry from Alexandria via LeMat-Bulk: Zn2Ni15Sb2 after structural relaxation (GGA-PBE).

It has space group R-3m (No. 166, hexagonal axes), with a = 8.1543 Å, b = 8.1543 Å, c = 12.5139 Å, α = 90.00°, β = 90.00° and γ = 120.00°. The inequivalent atoms are Zn at (0.0000, 0.0000, 0.0992), Ni at (0.0000, 0.3155, 0.0000), Ni at (0.0000, 0.5000, 0.5000), Ni at (0.0026, 0.5013, 0.1598) and Sb at (0.0000, 0.0000, 0.3561).

Entry 19:
Entry from Alexandria via LeMat-Bulk: Zr2Ni2Sb after structural relaxation (GGA-PBE).

It has space group P4/mbm (No. 127), with a = 7.625 Å, b = 7.625 Å, c = 3.258 Å, α = 90.00°, β = 90.00° and γ = 90.00°. The inequivalent atoms are Zr at (0.158, 0.342, 0.000), Ni at (0.123, 0.623, 0.500) and Sb at (0.000, 0.000, 0.000).

The calculation puts the energy above the most stable polymorph in this dataset at 1.76 eV per formula unit.

Entry 20:
Entry from Alexandria via LeMat-Bulk: ZrNiSb2 after structural relaxation (GGA-PBE).

It has space group Amm2 (No. 38), with a = 3.966 Å, b = 3.880 Å, c = 10.862 Å, α = 90.00°, β = 90.00° and γ = 90.00°. The inequivalent atoms are Zr at (0.000, 0.000, 0.000), Ni at (0.500, 0.000, 0.822), Sb at (0.000, 0.000, 0.285) and Sb at (0.500, 0.000, 0.585).

no.,D(E_F) (states/eV per atom),total DFT energy (no corrections) (eV per atom),V (Å³/f.u.)
1,0.648,-4.522,95.5
2,0.730,-4.848,77.0
3,0.370,-2.507,96.9
4,0.175,-3.265,87.0
5,0.750,-3.660,54.6
6,0.300,-3.712,80.8
7,0.439,-3.566,78.2
8,0.387,-3.849,86.9
9,0.526,-3.618,54.5
10,0.407,-3.811,84.3
11,1.037,-1.693,138.6
12,0.953,-4.850,138.2
13,0.495,-3.744,82.9
14,0.817,-3.406,82.1
15,0.524,-3.736,92.2
16,0.420,-2.328,97.4
17,0.588,-3.950,52.7
18,1.256,-5.074,240.2
19,0.520,-6.767,94.7
20,0.563,-6.006,83.6